# TlFe2Te PBE optimized geometry
# Energy relative to the elements, uncorrected ... 0.797 eV per atom
# Calculated total energy ... -0.354 Ry per atom
# Fermi-level density of states ... 2.7933 states/eV/atom
# Energy relative to the lowest polymorph listed for this composition ... 0.525 eV per atom
data_TlFe2Te
_chemical_formula_sum 'Tl4 Fe8 Te4'
_cell_length_a 6.4111
_cell_length_b 6.4111
_cell_length_c 6.4111
_cell_angle_alpha 90.00
_cell_angle_beta 90.00
_cell_angle_gamma 90.00
_space_group_name_H-M_alt 'F m -3 m'
_space_group_IT_number 225
_space_group_name_Hall '-F 4 2 3'
loop_
_atom_site_label
_atom_site_fract_x
_atom_site_fract_y
_atom_site_fract_z
_atom_site_occupancy
Tl1 0.0000 0.0000 0.0000 1
Fe1 0.2500 0.2500 0.2500 1
Te1 0.0000 0.0000 0.5000 1

=====

# TlFe2Te PBE optimized geometry
# Energy relative to the elements, uncorrected ... 0.323 eV per atom
# Calculated total energy ... -0.388 Ry per atom
# Fermi-level density of states ... 0.8618 states/eV/atom
# Energy relative to the lowest polymorph listed for this composition ... 0.052 eV per atom
data_TlFe2Te
_chemical_formula_sum 'Tl2 Fe4 Te2'
_cell_length_a 7.8490
_cell_length_b 3.4201
_cell_length_c 6.7696
_cell_angle_alpha 90.00
_cell_angle_beta 105.51
_cell_angle_gamma 90.00
_space_group_name_H-M_alt 'C 1 m 1'
_space_group_IT_number 8
loop_
_space_group_symop_operation_xyz
'x,y,z'
'x,-y,z'
'x+1/2,y+1/2,z'
'x+1/2,-y+1/2,z'
loop_
_atom_site_label
_atom_site_fract_x
_atom_site_fract_y
_atom_site_fract_z
_atom_site_occupancy
Tl1 0.0000 0.0000 0.0000 1
Fe1 0.2633 0.5000 0.2513 1
Fe2 0.4876 0.0000 0.3717 1
Te1 0.2358 0.0000 0.5554 1

=====

# TlFe2Te PBE optimized geometry
# Energy relative to the elements, uncorrected ... 0.271 eV per atom
# Calculated total energy ... -0.392 Ry per atom
# Fermi-level density of states ... 0.5564 states/eV/atom
# Energy relative to the lowest polymorph listed for this composition ... 0.000 eV per atom
data_TlFe2Te
_chemical_formula_sum 'Tl1 Fe2 Te1'
_cell_length_a 3.1800
_cell_length_b 3.2236
_cell_length_c 7.9089
_cell_angle_alpha 90.00
_cell_angle_beta 90.00
_cell_angle_gamma 90.00
_space_group_name_H-M_alt 'P m m 2'
_space_group_IT_number 25
loop_
_space_group_symop_operation_xyz
'x,y,z'
'-x,-y,z'
'-x,y,z'
'x,-y,z'
loop_
_atom_site_label
_atom_site_fract_x
_atom_site_fract_y
_atom_site_fract_z
_atom_site_occupancy
Tl1 0.0000 0.0000 0.0000 1
Fe1 0.0000 0.0000 0.6130 1
Fe2 0.5000 0.5000 0.7610 1
Te1 0.5000 0.5000 0.4188 1

=====

# Tm5Fe2Te PBE optimized geometry
# Energy relative to the elements, uncorrected ... -0.353 eV per atom
# Calculated total energy ... -0.416 Ry per atom
# Fermi-level density of states ... 0.9745 states/eV/atom
data_Tm5Fe2Te
_chemical_formula_sum 'Tm20 Fe8 Te4'
_cell_length_a 7.3768
_cell_length_b 7.3768
_cell_length_c 14.0509
_cell_angle_alpha 90.00
_cell_angle_beta 90.00
_cell_angle_gamma 90.00
_space_group_name_H-M_alt 'I 4/m c m'
_space_group_IT_number 140
_space_group_name_Hall '-I 4 2c'
loop_
_atom_site_label
_atom_site_fract_x
_atom_site_fract_y
_atom_site_fract_z
_atom_site_occupancy
Tm1 0.0000 0.0000 0.0000 1
Tm2 0.1623 0.3377 0.1350 1
Fe1 0.1175 0.3825 0.5000 1
Te1 0.0000 0.0000 0.2500 1